No. 1
Computed, not measured: a relaxed structure of K2RuBr at the PBE level of DFT.

Cell: 3.6127 3.6127 9.8504 Å, 90.00 90.00 90.00°
Atoms (fractional coordinates):
K (0.0000, 0.0000, 0.0000)
K (0.5000, 0.5000, 0.4132)
Ru (0.0000, 0.0000, 0.6725)
Br (0.5000, 0.5000, 0.7390)

Values from the calculation:
Total magnetic moment (μB per formula unit): 0.36
Energy relative to the lowest polymorph listed for this composition (eV/atom): 0.236
Formation energy from raw total energies (kJ/mol of formula units): 164
Density of states at the Fermi level (states/eV per cell): 2.82
Symmetry: P4mm
Crystal system: tetragonal

=====

No. 2
Computed, not measured: a relaxed structure of Pr4ThBi6 at the PBE level of DFT.

Cell: 8.2425 8.2425 21.6165 Å, 90.00 90.00 147.33°
Atoms (fractional coordinates):
Pr (0.0935, 0.9065, 0.6318)
Pr (0.0935, 0.9065, 0.8682)
Pr (0.3590, 0.6410, 0.5393)
Pr (0.3590, 0.6410, 0.9607)
Pr (0.6410, 0.3590, 0.0393)
Pr (0.6410, 0.3590, 0.4607)
Pr (0.9065, 0.0935, 0.1318)
Pr (0.9065, 0.0935, 0.3682)
Th (0.1587, 0.8413, 0.2500)
Th (0.8413, 0.1587, 0.7500)
Bi (0.0000, 0.0000, 0.0000)
Bi (0.0000, 0.0000, 0.5000)
Bi (0.2055, 0.7945, 0.7500)
Bi (0.2641, 0.7359, 0.0967)
Bi (0.2641, 0.7359, 0.4033)
Bi (0.4582, 0.5418, 0.6765)
Bi (0.4582, 0.5418, 0.8235)
Bi (0.5418, 0.4582, 0.1765)
Bi (0.5418, 0.4582, 0.3235)
Bi (0.7359, 0.2641, 0.5967)
Bi (0.7359, 0.2641, 0.9033)
Bi (0.7945, 0.2055, 0.2500)

Values from the calculation:
ΔE_f (eV per atom): -0.671
Total magnetic moment (μB per formula unit): 0.00
Density of states at the Fermi level (states/eV per cell): 9.37
Symmetry: Cmcm
Crystal system: orthorhombic

=====

No. 3
Computed, not measured: a relaxed structure of TmAs2Ru at the PBE level of DFT.

Cell: 6.0601 6.0601 6.0601 Å, 38.06 38.06 38.06°
Atoms (fractional coordinates):
Tm (0.0000, 0.0000, 0.0000)
As (0.2335, 0.2335, 0.2335)
As (0.7665, 0.7665, 0.7665)
Ru (0.5000, 0.5000, 0.5000)

Values from the calculation:
ΔE_f (eV per atom): -0.691
Total magnetic moment (μB per formula unit): 0.00
Density of states at the Fermi level (states/eV per cell): 3.48
Symmetry: R-3m
Crystal system: trigonal

=====

No. 4
Computed, not measured: a relaxed structure of Cs2RbNaZn at the PBE level of DFT.

Cell: 7.2979 7.2979 7.0454 Å, 90.00 90.00 90.00°
Atoms (fractional coordinates):
Cs (0.0000, 0.5000, 0.0000)
Cs (0.5000, 0.0000, 0.0000)
Rb (0.0000, 0.0000, 0.5000)
Na (0.5000, 0.5000, 0.5000)
Zn (0.0000, 0.0000, 0.0000)

Values from the calculation:
ΔE_f (eV per atom): 0.148
Total magnetic moment (μB per formula unit): 0.00
Energy relative to the lowest polymorph listed for this composition (eV/atom): 0.036
Density of states at the Fermi level (states/eV per cell): 5.96
Symmetry: P4/mmm
Crystal system: tetragonal